(1)
This record from the Alexandria database describes a geometry-optimized Tl2AsP structure. The functional is PBE.

The value obtained for the energy above the most stable polymorph in this dataset is 0.04 eV per formula unit. As for the formation energy from the elements: 62 meV/atom. As for the total energy: -3.64 eV/atom.

The space group is Cm (No. 8) and the conventional cell measures 12.0307, 3.5074 and 5.5805 Å, with angles of 90.00, 117.55 and 90.00 degrees. The distinct sites, in fractional coordinates, are Tl at (0.0000, 0.0000, 0.0000), Tl at (0.2123, 0.0000, 0.7099), As at (0.4211, 0.0000, 0.4202) and P at (0.2726, 0.5000, 0.2713).



(2)
This record from the Alexandria database describes a geometry-optimized TlAs2P structure. The functional is PBE.

The value obtained for the energy above the most stable polymorph in this dataset is 0.78 eV per formula unit. As for the formation energy from the elements: 359 meV/atom. As for the total energy: -3.91 eV/atom.

The space group is P4/mmm (No. 123) and the conventional cell measures 3.5938, 3.5938 and 6.9742 Å, with angles of 90.00, 90.00 and 90.00 degrees. The distinct sites, in fractional coordinates, are Tl at (0.0000, 0.0000, 0.0000), As at (0.5000, 0.5000, 0.3246) and P at (0.0000, 0.0000, 0.5000).



(3)
This record from the Alexandria database describes a geometry-optimized Tl4AsP structure. The functional is PBE.

As for the formation energy from the elements: 622 meV/atom. As for the total energy: -2.63 eV/atom.

The space group is F-43m (No. 216) and the conventional cell measures 8.8907, 8.8907 and 8.8907 Å, with angles of 90.00, 90.00 and 90.00 degrees. The distinct sites, in fractional coordinates, are Tl at (0.1251, 0.1251, 0.1251), As at (0.2500, 0.2500, 0.7500) and P at (0.0000, 0.0000, 0.5000).



(4)
This record from the Alexandria database describes a geometry-optimized TlAs2P structure. The functional is PBE.

The value obtained for the energy above the most stable polymorph in this dataset is 0.40 eV per formula unit. As for the formation energy from the elements: 264 meV/atom. As for the total energy: -4.01 eV/atom.

The space group is Pmm2 (No. 25) and the conventional cell measures 2.8915, 5.0301 and 6.3743 Å, with angles of 90.00, 90.00 and 90.00 degrees. The distinct sites, in fractional coordinates, are Tl at (0.0000, 0.0000, 0.0000), As at (0.5000, 0.0000, 0.4926), As at (0.5000, 0.5000, 0.7307) and P at (0.5000, 0.5000, 0.3617).



(5)
This record from the Alexandria database describes a geometry-optimized Tl2AsP structure. The functional is PBE.

The value obtained for the energy above the most stable polymorph in this dataset is 0.00 eV per formula unit. As for the formation energy from the elements: 52 meV/atom. As for the total energy: -3.65 eV/atom.

The space group is Pm (No. 6) and the conventional cell measures 5.1858, 3.5112 and 6.3531 Å, with angles of 90.00, 105.30 and 90.00 degrees. The distinct sites, in fractional coordinates, are Tl at (0.0000, 0.0000, 0.0000), Tl at (0.3591, 0.5000, 0.5962), As at (0.7755, 0.0000, 0.4078) and P at (0.5612, 0.5000, 0.1724).



(6)
This record from the Alexandria database describes a geometry-optimized TlAs2P structure. The functional is PBE.

The value obtained for the energy above the most stable polymorph in this dataset is 1.61 eV per formula unit. As for the formation energy from the elements: 566 meV/atom. As for the total energy: -3.70 eV/atom.

The space group is P4/mmm (No. 123) and the conventional cell measures 3.9244, 3.9244 and 5.6405 Å, with angles of 90.00, 90.00 and 90.00 degrees. The distinct sites, in fractional coordinates, are Tl at (0.0000, 0.0000, 0.0000), As at (0.0000, 0.5000, 0.5000) and P at (0.5000, 0.5000, 0.0000).



(7)
This record from the Alexandria database describes a geometry-optimized TlAs2P structure. The functional is PBE.

The value obtained for the energy above the most stable polymorph in this dataset is 0.38 eV per formula unit. As for the formation energy from the elements: 259 meV/atom. As for the total energy: -4.01 eV/atom.

The space group is P2/m (No. 10) and the conventional cell measures 3.9809, 4.6142 and 5.3552 Å, with angles of 90.00, 100.66 and 90.00 degrees. The distinct sites, in fractional coordinates, are Tl at (0.0000, 0.0000, 0.0000), As at (0.2846, 0.5000, 0.6525) and P at (0.5000, 0.0000, 0.5000).



(8)
This record from the Alexandria database describes a geometry-optimized TlAsP2 structure. The functional is PBE.

The value obtained for the energy above the most stable polymorph in this dataset is 0.62 eV per formula unit. As for the formation energy from the elements: 343 meV/atom. As for the total energy: -4.12 eV/atom.

The space group is Pmmm (No. 47) and the conventional cell measures 3.3856, 3.9772 and 6.6087 Å, with angles of 90.00, 90.00 and 90.00 degrees. The distinct sites, in fractional coordinates, are Tl at (0.0000, 0.0000, 0.0000), As at (0.0000, 0.0000, 0.5000) and P at (0.5000, 0.5000, 0.3385).



Total moment values (in μB per atom) by entry order: 0.00, 0.00, 0.00, 0.00, 0.00, 0.00, 0.00, 0.00.
Fermi-level density of states values (in states/eV/atom) by entry order: 0.284, 0.412, 0.849, 0.331, 0.274, 0.665, 0.341, 0.235.